{"formula": "Sc8Os2Pd", "functional": "GGA-PBE", "state": "optimized geometry", "space_group": "No. 44", "e_form_ev_per_atom": -0.403, "total_energy_ev_per_atom": -7.521, "m_tot_mub_per_atom": 0.000, "lattice": [[-4.7477, 0.1762, -0.0260], [-0.2094, -6.0196, -2.3913], [2.3403, 0.2299, 7.9939]], "species": ["Sc", "Sc", "Sc", "Sc", "Sc", "Sc", "Sc", "Sc", "Os", "Os", "Pd"], "frac_coords": [[0.1367, 0.5545, 0.9091], [0.3441, 0.8543, 0.3246], [0.2971, 0.3441, 0.2306], [0.7476, 0.9453, 0.1313], [0.6364, 0.2562, 0.9090], [0.9284, 0.4388, 0.4936], [0.5253, 0.7231, 0.6869], [0.9755, 0.0226, 0.5876], [0.8046, 0.6177, 0.2458], [0.4676, 0.2809, 0.5723], [0.1367, 0.9624, 0.9091]]}

{"formula": "Rb3NpSb3Se8", "functional": "GGA-PBE", "state": "optimized geometry", "space_group": "No. 166", "total_energy_ev_per_atom": -4.515, "m_tot_mub_per_atom": 0.200, "lattice": [[8.4519, 0.0000, 0.0000], [-4.2259, 7.3205, -0.0322], [0.0000, -4.8480, 8.1916]], "species": ["Rb", "Rb", "Rb", "Se", "Se", "Se", "Se", "Se", "Se", "Se", "Se", "Np", "Sb", "Sb", "Sb"], "frac_coords": [[0.5000, 0.5000, 0.0000], [0.0000, 0.0000, 0.0000], [0.0000, 0.5000, 0.0000], [0.7734, 0.5469, 0.3101], [0.2265, 0.9637, 0.6897], [0.7735, 0.0363, 0.3103], [0.2628, 0.0363, 0.3103], [0.7326, 0.4651, 0.6972], [0.2266, 0.4531, 0.6899], [0.7372, 0.9637, 0.6897], [0.2674, 0.5349, 0.3028], [0.0000, 0.0000, 0.5000], [0.5000, 0.5000, 0.5000], [0.5000, 0.0000, 0.5000], [0.0000, 0.5000, 0.5000]]}

{"formula": "Be4Au", "functional": "GGA-PBE", "state": "optimized geometry", "space_group": "No. 229", "e_form_ev_per_atom": 0.490, "total_energy_ev_per_atom": -3.146, "relative_energy_mev_per_atom": 278, "m_tot_mub_per_atom": 0.000, "lattice": [[-2.6101, 2.6101, 2.6101], [2.6101, -2.6101, 2.6101], [2.6101, 2.6101, -2.6101]], "species": ["Au", "Be", "Be", "Be", "Be"], "frac_coords": [[0.0000, 0.0000, 0.0000], [0.5000, 0.5000, 0.5000], [0.0000, 0.0000, 0.5000], [0.5000, 0.0000, 0.0000], [0.0000, 0.5000, 0.0000]]}

{"formula": "SrLi2Be", "functional": "GGA-PBE", "state": "optimized geometry", "space_group": "No. 6", "e_form_ev_per_atom": 0.322, "total_energy_ev_per_atom": -1.987, "m_tot_mub_per_atom": 0.000, "lattice": [[4.1606, 0.0000, 0.0000], [0.0000, 3.8630, 0.0231], [0.0000, 1.9187, 6.3193]], "species": ["Li", "Li", "Be", "Sr"], "frac_coords": [[0.0000, 0.8025, 0.0248], [0.5000, 0.2597, 0.1067], [0.5000, 0.9074, 0.8049], [0.0000, 0.5304, 0.5636]]}

{"formula": "Cr3PBr", "functional": "GGA-PBE", "state": "optimized geometry", "space_group": "No. 221", "total_energy_ev_per_atom": -5.550, "relative_energy_mev_per_atom": 698, "m_tot_mub_per_atom": 0.000, "lattice": [[4.3573, 0.0000, 0.0000], [0.0000, 4.3573, 0.0000], [0.0000, 0.0000, 4.3573]], "species": ["P", "Cr", "Cr", "Cr", "Br"], "frac_coords": [[0.5000, 0.5000, 0.5000], [0.5000, 0.0000, 0.0000], [0.0000, 0.0000, 0.5000], [0.0000, 0.5000, 0.0000], [0.0000, 0.0000, 0.0000]]}

{"formula": "NbRe2", "functional": "GGA-PBE", "state": "optimized geometry", "space_group": "No. 227", "e_form_ev_per_atom": -0.080, "total_energy_ev_per_atom": -11.735, "m_tot_mub_per_atom": 0.000, "lattice": [[-2.4727, -1.3611, 4.3747], [-1.5826, -4.9137, 0.6745], [2.3748, -3.0434, 3.4933]], "species": ["Re", "Re", "Re", "Re", "Nb", "Nb"], "frac_coords": [[0.6250, 0.6250, 0.6250], [0.6250, 0.6250, 0.1250], [0.6250, 0.1250, 0.6250], [0.1250, 0.6250, 0.6250], [0.2500, 0.2500, 0.2500], [0.0000, 0.0000, 0.0000]]}

{"formula": "Li2La2NpN4", "functional": "GGA-PBE", "state": "optimized geometry", "space_group": "No. 12", "total_energy_ev_per_atom": -7.565, "m_tot_mub_per_atom": 0.308, "lattice": [[-0.6328, -3.1348, 1.2686], [5.2482, -0.7095, -3.8005], [1.7983, 1.8500, 5.4686]], "species": ["Li", "Li", "N", "N", "N", "N", "La", "La", "Np"], "frac_coords": [[0.6840, 0.3680, 0.0074], [0.3160, 0.6320, 0.9926], [0.7961, 0.5921, 0.7877], [0.5279, 0.0558, 0.7724], [0.4721, 0.9442, 0.2276], [0.2039, 0.4079, 0.2123], [0.8610, 0.7219, 0.4309], [0.1390, 0.2781, 0.5691], [0.0000, 0.0000, 0.0000]]}

{"formula": "TaHgRu2", "functional": "GGA-PBE", "state": "optimized geometry", "space_group": "No. 123", "e_form_ev_per_atom": -0.043, "total_energy_ev_per_atom": -7.720, "m_tot_mub_per_atom": 0.000, "lattice": [[3.1721, 0.0000, 0.0000], [0.0000, 3.1721, 0.0000], [0.0000, 0.0000, 6.6634]], "species": ["Ta", "Hg", "Ru", "Ru"], "frac_coords": [[0.5000, 0.5000, 0.2500], [0.5000, 0.5000, 0.7500], [0.0000, 0.0000, 0.4723], [0.0000, 0.0000, 0.0277]]}